Density functional theory data (PBE) for crystalline KBe4Sb at its relaxed geometry.

a = 7.248 Å, b = 7.248 Å, c = 7.248 Å
α = 90.00°, β = 90.00°, γ = 90.00°
Space group F-43m (No. 216)
Symmetry-distinct sites (fractional):
K: 0.000 0.000 0.000 [4 per cell]
Be: 0.129 0.129 0.371 [16 per cell]
Sb: 0.250 0.250 0.750 [4 per cell]

Properties
Uncorrected formation energy = 0.797 eV per atom


Density functional theory data (PBE) for crystalline Th4GeOs3 at its relaxed geometry.

a = 4.036 Å, b = 4.231 Å, c = 11.167 Å
α = 90.00°, β = 90.00°, γ = 90.00°
Space group Pmm2 (No. 25)
Symmetry-distinct sites (fractional):
Th: 0.000 0.000 0.000 [1 per cell]
Th: 0.000 0.500 0.268 [1 per cell]
Th: 0.500 0.000 0.486 [1 per cell]
Th: 0.500 0.500 0.770 [1 per cell]
Ge: 0.000 0.000 0.703 [1 per cell]
Os: 0.000 0.500 0.552 [1 per cell]
Os: 0.500 0.000 0.219 [1 per cell]
Os: 0.500 0.500 0.030 [1 per cell]

Properties
ΔE_f = -418 meV/atom


no.,V (Å³/atom)
1,15.87
2,23.83